Entry 1:
VASP calculation (SCAN) on a PBEsol-optimized structure of InSe2Br.

The space group is P2/m (No. 10) and the conventional cell measures 5.0987, 3.9303 and 5.5336 Å, with angles of 90.00, 106.54 and 90.00 degrees. Symmetry generates all atoms from In at (0.0000, 0.0000, 0.0000), Se at (0.3893, 0.5000, 0.1608) and Br at (0.0000, 0.0000, 0.5000).

The value obtained for the polymorph energy (0 for the lowest one) is 0.0000 eV per atom. The formation energy without anion corrections is -49 kJ/mol of atoms.


Entry 2:
VASP calculation (SCAN) on a PBEsol-optimized structure of In4SeBr.

The space group is F-43m (No. 216) and the conventional cell measures 8.6346, 8.6346 and 8.6346 Å, with angles of 90.00, 90.00 and 90.00 degrees. Symmetry generates all atoms from In at (0.1244, 0.1244, 0.3756), Se at (0.2500, 0.2500, 0.7500) and Br at (0.0000, 0.0000, 0.0000).

The formation energy without anion corrections is -1 kJ/mol of atoms.


Entry 3:
VASP calculation (SCAN) on a PBEsol-optimized structure of InSe2Br.

The space group is P4/mmm (No. 123) and the conventional cell measures 5.0174, 5.0174 and 3.4963 Å, with angles of 90.00, 90.00 and 90.00 degrees. Symmetry generates all atoms from In at (0.0000, 0.0000, 0.0000), Se at (0.0000, 0.5000, 0.5000) and Br at (0.5000, 0.5000, 0.0000).

The value obtained for the polymorph energy (0 for the lowest one) is 0.8710 eV per atom. The formation energy without anion corrections is 35 kJ/mol of atoms.


Entry 4:
VASP calculation (SCAN) on a PBEsol-optimized structure of InSe2Br.

The space group is R-3m (No. 166, hexagonal axes) and the conventional cell measures 4.0161, 4.0161 and 20.9664 Å, with angles of 90.00, 90.00 and 120.00 degrees. Symmetry generates all atoms from In at (0.0000, 0.0000, 0.0000), Se at (0.0000, 0.0000, 0.2629) and Br at (0.0000, 0.0000, 0.5000).

The value obtained for the polymorph energy (0 for the lowest one) is 0.3910 eV per atom. The formation energy without anion corrections is -11 kJ/mol of atoms.


Entry 5:
VASP calculation (SCAN) on a PBEsol-optimized structure of InSeBr2.

The space group is Pm (No. 6) and the conventional cell measures 4.8903, 5.4994 and 5.2195 Å, with angles of 90.00, 117.30 and 90.00 degrees. Symmetry generates all atoms from In at (0.0000, 0.0000, 0.0000), Se at (0.9644, 0.5000, 0.9218), Br at (0.3882, 0.5000, 0.7647) and Br at (0.6639, 0.0000, 0.3317).

The value obtained for the polymorph energy (0 for the lowest one) is 0.0000 eV per atom. The formation energy without anion corrections is -33 kJ/mol of atoms.


Entry 6:
VASP calculation (SCAN) on a PBEsol-optimized structure of InSeBr3.

The space group is Pm-3m (No. 221) and the conventional cell measures 5.3497, 5.3497 and 5.3497 Å, with angles of 90.00, 90.00 and 90.00 degrees. Symmetry generates all atoms from In at (0.0000, 0.0000, 0.0000), Se at (0.5000, 0.5000, 0.5000) and Br at (0.0000, 0.5000, 0.5000).

The formation energy without anion corrections is -22 kJ/mol of atoms.


Entry 7:
VASP calculation (SCAN) on a PBEsol-optimized structure of InSeBr.

The space group is P3m1 (No. 156) and the conventional cell measures 3.9310, 3.9310 and 6.3294 Å, with angles of 90.00, 90.00 and 120.00 degrees. Symmetry generates all atoms from In at (0.0000, 0.0000, 0.0000), Se at (0.6667, 0.3333, 0.7891) and Br at (0.3333, 0.6667, 0.2855).

The formation energy without anion corrections is -72 kJ/mol of atoms.


Entry 8:
VASP calculation (SCAN) on a PBEsol-optimized structure of InSeBr2.

The space group is Pmmm (No. 47) and the conventional cell measures 3.7541, 4.3699 and 6.1513 Å, with angles of 90.00, 90.00 and 90.00 degrees. Symmetry generates all atoms from In at (0.0000, 0.0000, 0.0000), Se at (0.5000, 0.0000, 0.5000), Br at (0.0000, 0.5000, 0.5000) and Br at (0.5000, 0.5000, 0.0000).

The value obtained for the polymorph energy (0 for the lowest one) is 0.2702 eV per atom. The formation energy without anion corrections is -7 kJ/mol of atoms.


Entry 9:
VASP calculation (SCAN) on a PBEsol-optimized structure of InSeBr2.

The space group is C2/m (No. 12) and the conventional cell measures 6.8238, 8.5621 and 5.1073 Å, with angles of 90.00, 131.73 and 90.00 degrees. Symmetry generates all atoms from In at (0.0000, 0.0000, 0.0000), Se at (0.0000, 0.5000, 0.0000) and Br at (0.2500, 0.2500, 0.5000).

The value obtained for the polymorph energy (0 for the lowest one) is 0.2464 eV per atom. The formation energy without anion corrections is -9 kJ/mol of atoms.


Entry 10:
VASP calculation (SCAN) on a PBEsol-optimized structure of InSeBr2.

The space group is I-42d (No. 122) and the conventional cell measures 9.7656, 9.7656 and 5.3024 Å, with angles of 90.00, 90.00 and 90.00 degrees. Symmetry generates all atoms from In at (0.0000, 0.0000, 0.0000), Se at (0.0000, 0.0000, 0.5000) and Br at (0.1135, 0.7500, 0.1250).

The value obtained for the polymorph energy (0 for the lowest one) is 0.1376 eV per atom. The formation energy without anion corrections is -20 kJ/mol of atoms.


Entry 11:
VASP calculation (SCAN) on a PBEsol-optimized structure of InSe2Br.

The space group is I4/mmm (No. 139) and the conventional cell measures 3.9517, 3.9517 and 12.6890 Å, with angles of 90.00, 90.00 and 90.00 degrees. Symmetry generates all atoms from In at (0.0000, 0.0000, 0.0000), Se at (0.0000, 0.5000, 0.2500) and Br at (0.0000, 0.0000, 0.5000).

The value obtained for the polymorph energy (0 for the lowest one) is 0.4557 eV per atom. The formation energy without anion corrections is -5 kJ/mol of atoms.


Entry 12:
VASP calculation (SCAN) on a PBEsol-optimized structure of Sr2InSeBr.

The space group is P4/mmm (No. 123) and the conventional cell measures 6.1566, 6.1566 and 5.2885 Å, with angles of 90.00, 90.00 and 90.00 degrees. Symmetry generates all atoms from Sr at (0.0000, 0.5000, 0.0000), In at (0.0000, 0.0000, 0.0000), Se at (0.5000, 0.5000, 0.5000) and Br at (0.0000, 0.0000, 0.5000).

The formation energy without anion corrections is -51 kJ/mol of atoms.